Arrangement one

First-principles (PBE-GGA) data for an optimized crystal structure of Pr2PSe, as listed in OQMD.

Calculated values
Symmetry ... P4/mmm (123)
Size of the total moment ... 0.001 μB per atom

abc: 4.2322 4.2322 5.9745
angles: 90.00 90.00 90.00
Fractional positions:
1 Pr 0.0000 0.0000 0.0000
2 Pr 0.5000 0.5000 0.5000
3 P 0.0000 0.0000 0.5000
4 Se 0.5000 0.5000 0.0000



Arrangement two

First-principles (PBE-GGA) data for an optimized crystal structure of Pr2PSe, as listed in OQMD.

Calculated values
Symmetry ... Pmmn (59)
Size of the total moment ... 0.000 μB per atom

abc: 4.2111 5.9734 8.5555
angles: 90.00 90.00 90.00
Fractional positions:
1 Pr 0.2500 0.2500 0.1121
2 Pr 0.2500 0.2500 0.6447
3 Pr 0.7500 0.7500 0.3553
4 Pr 0.7500 0.7500 0.8879
5 P 0.2500 0.7500 0.1252
6 P 0.7500 0.2500 0.8748
7 Se 0.2500 0.7500 0.6212
8 Se 0.7500 0.2500 0.3788



Energy comparison, zero being the most stable, in meV per atom: arrangement one 29; arrangement two 0.



Arrangement one

First-principles (PBE-GGA) data for an optimized crystal structure of Sr2ReP6Pt, as listed in OQMD.

Calculated values
Symmetry ... Pnma (62)
Size of the total moment ... 0.001 μB per atom

abc: 11.7005 7.3388 10.8081
angles: 90.00 90.00 90.00
Fractional positions:
1 Sr 0.0593 0.2500 0.2074
2 Sr 0.1638 0.2500 0.8431
3 Sr 0.3362 0.7500 0.3431
4 Sr 0.4407 0.7500 0.7074
5 Sr 0.5593 0.2500 0.2926
6 Sr 0.6638 0.2500 0.6569
7 Sr 0.8362 0.7500 0.1569
8 Sr 0.9407 0.7500 0.7926
9 Re 0.0711 0.7500 0.5245
10 Re 0.4289 0.2500 0.0245
11 Re 0.5711 0.7500 0.9755
12 Re 0.9289 0.2500 0.4755
13 P 0.0328 0.0414 0.6174
14 P 0.0328 0.4586 0.6174
15 P 0.0705 0.5778 0.0376
16 P 0.0705 0.9222 0.0376
17 P 0.1374 0.2500 0.5250
18 P 0.1883 0.7500 0.6884
19 P 0.3117 0.2500 0.1884
20 P 0.3626 0.7500 0.0250
21 P 0.4295 0.0778 0.5376
22 P 0.4295 0.4222 0.5376
23 P 0.4672 0.5414 0.1174
24 P 0.4672 0.9586 0.1174
25 P 0.5328 0.0414 0.8826
26 P 0.5328 0.4586 0.8826
27 P 0.5705 0.5778 0.4624
28 P 0.5705 0.9222 0.4624
29 P 0.6374 0.2500 0.9750
30 P 0.6883 0.7500 0.8116
31 P 0.8117 0.2500 0.3116
32 P 0.8626 0.7500 0.4750
33 P 0.9295 0.0778 0.9624
34 P 0.9295 0.4222 0.9624
35 P 0.9672 0.5414 0.3826
36 P 0.9672 0.9586 0.3826
37 Pt 0.2006 0.7500 0.8952
38 Pt 0.2994 0.2500 0.3952
39 Pt 0.7006 0.7500 0.6048
40 Pt 0.7994 0.2500 0.1048



Arrangement two

First-principles (PBE-GGA) data for an optimized crystal structure of Sr2ReP6Pt, as listed in OQMD.

Calculated values
Symmetry ... R-3m (166)
Size of the total moment ... 0.001 μB per atom

abc: 14.3216 14.3216 14.3216
angles: 23.62 23.62 23.62
Fractional positions:
1 Sr 0.1481 0.1481 0.1481
2 Sr 0.3068 0.3068 0.3068
3 Sr 0.6932 0.6932 0.6932
4 Sr 0.8519 0.8519 0.8519
5 Re 0.4084 0.4084 0.4084
6 Re 0.5916 0.5916 0.5916
7 P 0.1419 0.6103 0.6103
8 P 0.1797 0.1797 0.7914
9 P 0.1797 0.7914 0.1797
10 P 0.2086 0.8203 0.8203
11 P 0.3897 0.3897 0.8581
12 P 0.3897 0.8581 0.3897
13 P 0.6103 0.1419 0.6103
14 P 0.6103 0.6103 0.1419
15 P 0.7914 0.1797 0.1797
16 P 0.8203 0.2086 0.8203
17 P 0.8203 0.8203 0.2086
18 P 0.8581 0.3897 0.3897
19 Pt 0.0000 0.0000 0.0000
20 Pt 0.5000 0.5000 0.5000



Energy comparison, zero being the most stable, in meV per atom: arrangement one 40; arrangement two 0.



Arrangement one

First-principles (PBE-GGA) data for an optimized crystal structure of TcP, as listed in OQMD.

Calculated values
Symmetry ... P6_3/mmc (194)
Size of the total moment ... 0.004 μB per atom

abc: 3.6881 3.6881 4.7725
angles: 90.00 90.00 120.00
Fractional positions:
1 Tc 0.3333 0.6667 0.2500
2 Tc 0.6667 0.3333 0.7500
3 P 0.0000 0.0000 0.0000
4 P 0.0000 0.0000 0.5000



Arrangement two

First-principles (PBE-GGA) data for an optimized crystal structure of TcP, as listed in OQMD.

Calculated values
Symmetry ... F-43m (216)
Size of the total moment ... 0.004 μB per atom

abc: 3.7255 3.7255 3.7255
angles: 60.00 60.00 60.00
Fractional positions:
1 Tc 0.0000 0.0000 0.0000
2 P 0.2500 0.2500 0.2500



Arrangement three

First-principles (PBE-GGA) data for an optimized crystal structure of TcP, as listed in OQMD.

Calculated values
Symmetry ... Fm-3m (225)
Size of the total moment ... 0.004 μB per atom

abc: 3.4529 3.4529 3.4529
angles: 60.00 60.00 60.00
Fractional positions:
1 Tc 0.0000 0.0000 0.0000
2 P 0.5000 0.5000 0.5000



Arrangement four

First-principles (PBE-GGA) data for an optimized crystal structure of TcP, as listed in OQMD.

Calculated values
Symmetry ... P6_3/mmc (194)
Size of the total moment ... 0.006 μB per atom

abc: 3.3003 3.3003 6.0454
angles: 90.00 90.00 120.00
Fractional positions:
1 Tc 0.0000 0.0000 0.0000
2 Tc 0.0000 0.0000 0.5000
3 P 0.3333 0.6667 0.2500
4 P 0.6667 0.3333 0.7500



Energy comparison, zero being the most stable, in meV per atom: arrangement one 229; arrangement two 357; arrangement three 487; arrangement four 0.



Arrangement one

First-principles (PBE-GGA) data for an optimized crystal structure of TcP, as listed in OQMD.

Calculated values
Symmetry ... I4_1md (109)
Size of the total moment ... 0.002 μB per atom

abc: 6.1315 6.1315 6.1315
angles: 150.49 150.49 42.22
Fractional positions:
1 Tc 0.0000 0.0000 0.0000
2 Tc 0.7500 0.2500 0.5000
3 P 0.1618 0.6618 0.5000
4 P 0.4118 0.4118 0.0000



Arrangement two

First-principles (PBE-GGA) data for an optimized crystal structure of TcP, as listed in OQMD.

Calculated values
Symmetry ... Pmma (51)
Size of the total moment ... 0.000 μB per atom

abc: 4.9560 4.4529 5.0673
angles: 90.00 90.00 90.00
Fractional positions:
1 Tc 0.0000 0.0000 0.0000
2 Tc 0.2500 0.5000 0.3025
3 Tc 0.5000 0.0000 0.0000
4 Tc 0.7500 0.5000 0.6975
5 P 0.2500 0.0000 0.4372
6 P 0.2500 0.5000 0.8191
7 P 0.7500 0.0000 0.5628
8 P 0.7500 0.5000 0.1809



Energy comparison, zero being the most stable, in meV per atom: arrangement one 0; arrangement two 396.



Arrangement one

First-principles (PBE-GGA) data for an optimized crystal structure of TcP, as listed in OQMD.

Calculated values
Symmetry ... P-6m2 (187)
Size of the total moment ... 0.001 μB per atom

abc: 3.3298 3.3298 2.9511
angles: 90.00 90.00 120.00
Fractional positions:
1 Tc 0.0000 0.0000 0.0000
2 P 0.3333 0.6667 0.5000



Arrangement two

First-principles (PBE-GGA) data for an optimized crystal structure of TcP, as listed in OQMD.

Calculated values
Symmetry ... Pnma (62)
Size of the total moment ... 0.003 μB per atom

abc: 5.7088 3.0703 6.2490
angles: 90.00 90.00 90.00
Fractional positions:
1 Tc 0.0071 0.2500 0.1996
2 Tc 0.4929 0.7500 0.6996
3 Tc 0.5071 0.2500 0.3004
4 Tc 0.9929 0.7500 0.8004
5 P 0.1882 0.2500 0.5590
6 P 0.3118 0.7500 0.0590
7 P 0.6882 0.2500 0.9410
8 P 0.8118 0.7500 0.4410



Energy comparison, zero being the most stable, in meV per atom: arrangement one 88; arrangement two 0.



Arrangement one

First-principles (PBE-GGA) data for an optimized crystal structure of TcP2, as listed in OQMD.

Calculated values
Symmetry ... Fd-3m (227)
Size of the total moment ... 0.001 μB per atom

abc: 7.1488 7.1488 7.1488
angles: 60.00 60.00 60.00
Fractional positions:
1 Tc 0.1250 0.1250 0.1250
2 Tc 0.8750 0.8750 0.8750
3 P 0.0000 0.0000 0.0000
4 P 0.0000 0.0000 0.5000
5 P 0.0000 0.5000 0.0000
6 P 0.5000 0.0000 0.0000



Arrangement two

First-principles (PBE-GGA) data for an optimized crystal structure of TcP2, as listed in OQMD.

Calculated values
Symmetry ... Fd-3m (227)
Size of the total moment ... 0.025 μB per atom

abc: 4.8637 4.8637 4.8637
angles: 60.00 60.00 60.00
Fractional positions:
1 Tc 0.1250 0.1250 0.1250
2 Tc 0.8750 0.8750 0.8750
3 P 0.0000 0.5000 0.5000
4 P 0.5000 0.0000 0.5000
5 P 0.5000 0.5000 0.0000
6 P 0.5000 0.5000 0.5000



Energy comparison, zero being the most stable, in meV per atom: arrangement one 0; arrangement two 490.